First-principles (PBE-GGA) data for a relaxed structure of RbLiPrI5, as listed in Alexandria via LeMat-Bulk.

Calculated values
Its space group is No. 15. The density of states at the Fermi level comes out at 0.0000 states/eV/atom. For the formation energy from raw total energies, the calculation gives -1060.4 kJ/mol of formula units.

Cell and atoms, written as POSCAR:
```
RbLiPrI5
1.0
8.671 -0.015 -0.096
-2.546 8.289 -0.096
-2.650 -3.580 10.886
Pr I Rb Li
2 10 2 2
Direct
0.000 0.000 0.500
0.000 0.000 0.000
0.618 0.756 0.933
0.914 0.318 0.114
0.086 0.682 0.886
0.085 0.915 0.250
0.382 0.244 0.067
0.915 0.085 0.750
0.756 0.618 0.433
0.318 0.914 0.614
0.682 0.086 0.386
0.244 0.382 0.567
0.645 0.355 0.750
0.355 0.645 0.250
0.309 0.691 0.750
0.691 0.309 0.250
```